{
  "formula": "Ba2CdNi",
  "functional": "PBE",
  "state": "optimized geometry",
  "cell": [[5.4964, 0.0000, 0.0000], [2.7482, 4.7600, 0.0000], [2.7482, 1.5867, 4.4878]],
  "species": ["Cd", "Ba", "Ba", "Ni"],
  "frac_coords": [[0.5000, 0.5000, 0.5000], [0.2500, 0.2500, 0.2500], [0.0000, 0.0000, 0.0000], [0.7500, 0.7500, 0.7500]],
  "rho_g_cm3": 6.30,
  "formation_enthalpy_0k_mev_per_atom": 208,
  "magmom_total_mub_per_fu": 0.000
}